A plane-wave DFT calculation with PBE was carried out for Tb2Pr3Nd6Tl after structural relaxation.

Geometry as POSCAR:
```
Tb2Pr3Nd6Tl
1.0
-0.622 -3.000 -5.525
-2.070 -2.684 5.331
-9.596 7.000 -1.484
Tb Pr Nd Tl
2 3 6 1
direct
0.666 0.334 0.000
0.334 0.666 0.000
0.500 0.500 0.500
0.831 0.169 0.500
0.169 0.831 0.500
0.405 0.079 0.243
0.595 0.921 0.757
0.921 0.595 0.757
0.246 0.246 0.755
0.754 0.754 0.245
0.079 0.405 0.243
0.000 0.000 0.000
```

Its symmetry is No. 12. The density of states at the Fermi level is 1.327 states/eV per atom. For the final energy, the calculation gives -54.71 eV/f.u.